Entry 1:
# LaZnIn

An optimized crystal structure of LaZnIn (PBE, the Open Quantum Materials Database). Values from VASP.

Calculated values
VASP energy = -3.4358 eV/atom
space-group type = P6_3/mmc
calculated volume = 156.8 Å³ per cell
mass density = 6.760 Mg/m³

Quantum ESPRESSO input file:
```
&SYSTEM
  ibrav = 0, nat = 6, ntyp = 3
/
ATOMIC_SPECIES
Zn 65.41 Zn.upf
La 138.91 La.upf
In 114.82 In.upf
CELL_PARAMETERS angstrom
4.7841 0.0000 0.0000
-2.3920 4.1431 0.0000
0.0000 0.0000 7.9096
ATOMIC_POSITIONS angstrom
Zn 2.3920 1.3810 5.9322
Zn 0.0000 2.7621 1.9774
La 0.0000 0.0000 0.0000
La 0.0000 0.0000 3.9548
In 2.3920 1.3810 1.9774
In 0.0000 2.7621 5.9322
```


Entry 2:
# AcTbBi

An optimized crystal structure of AcTbBi (PBE, the Open Quantum Materials Database). Values from VASP.

Calculated values
VASP energy = -4.5630 eV/atom
space-group type = F-43m
calculated volume = 114.0 Å³ per cell
mass density = 8.667 Mg/m³

Quantum ESPRESSO input file:
```
&SYSTEM
  ibrav = 0, nat = 3, ntyp = 3
/
ATOMIC_SPECIES
Tb 158.93 Tb.upf
Bi 208.98 Bi.upf
Ac 227.00 Ac.upf
CELL_PARAMETERS angstrom
-0.0591 -5.1908 1.6342
-3.4748 -3.5254 -2.2617
1.8539 -3.9123 -3.2977
ATOMIC_POSITIONS angstrom
Tb -1.2600 -9.4713 -2.9439
Bi 0.0000 0.0000 0.0000
Ac -0.4200 -3.1571 -0.9813
```


Entry 3:
# Zr2HgN

An optimized crystal structure of Zr2HgN (PBE, the Open Quantum Materials Database). Values from VASP.

Calculated values
VASP energy = -7.4270 eV/atom
space-group type = R-3m
calculated volume = 70.1 Å³ per cell
mass density = 9.404 Mg/m³

Quantum ESPRESSO input file:
```
&SYSTEM
  ibrav = 0, nat = 4, ntyp = 3
/
ATOMIC_SPECIES
Zr 91.22 Zr.upf
Hg 200.59 Hg.upf
N 14.01 N.upf
CELL_PARAMETERS angstrom
-1.9804 1.7668 2.0244
-1.6891 -1.5318 2.4377
6.8008 0.9827 3.0480
ATOMIC_POSITIONS angstrom
Zr -0.5879 0.5104 4.4877
Zr 3.7192 0.7073 3.0224
Hg 0.0000 0.0000 0.0000
N 1.5657 0.6088 3.7551
```


Entry 4:
# AgB4Pd

An optimized crystal structure of AgB4Pd (PBE, the Open Quantum Materials Database). Values from VASP.

Calculated values
VASP energy = -5.3562 eV/atom
space-group type = Immm
calculated volume = 61.1 Å³ per cell
mass density = 6.998 Mg/m³

Quantum ESPRESSO input file:
```
&SYSTEM
  ibrav = 0, nat = 6, ntyp = 3
/
ATOMIC_SPECIES
B 10.81 B.upf
Ag 107.87 Ag.upf
Pd 106.42 Pd.upf
CELL_PARAMETERS angstrom
-1.4895 2.6240 3.9090
1.4895 -2.6240 3.9090
1.4895 2.6240 -3.9090
ATOMIC_POSITIONS angstrom
B 1.4895 -0.8557 1.9298
B 1.4895 0.8557 1.9298
B 0.0000 1.7683 1.9792
B 0.0000 3.4797 1.9792
Ag 0.0000 0.0000 3.9090
Pd 0.0000 0.0000 0.0000
```


Entry 5:
# TmLu3Si4

An optimized crystal structure of TmLu3Si4 (PBE, the Open Quantum Materials Database). Values from VASP.

Calculated values
VASP energy = -5.3683 eV/atom
space-group type = I4/mmm
calculated volume = 184.8 Å³ per cell
mass density = 7.245 Mg/m³

Quantum ESPRESSO input file:
```
&SYSTEM
  ibrav = 0, nat = 8, ntyp = 3
/
ATOMIC_SPECIES
Si 28.09 Si.upf
Lu 174.97 Lu.upf
Tm 168.93 Tm.upf
CELL_PARAMETERS angstrom
-1.9406 -6.4920 -1.6537
-6.4825 -1.1440 2.3054
2.7312 5.1522 -3.8265
ATOMIC_POSITIONS angstrom
Si -6.3061 -5.7168 0.4879
Si -1.8757 2.0041 -0.7605
Si 0.3953 -0.6699 -2.7401
Si -2.1171 -1.9193 0.1638
Lu -3.9815 0.0951 -0.5976
Lu -4.2116 -3.8180 0.3258
Lu -1.7105 -2.5789 -2.5772
Tm 0.0000 0.0000 0.0000
```


Entry 6:
# Dy2Pd

An optimized crystal structure of Dy2Pd (PBE, the Open Quantum Materials Database). Values from VASP.

Calculated values
space-group type = P-62m
calculated volume = 224.2 Å³ per cell
energy relative to the elements = -1.7 eV/f.u.
mass density = 9.588 Mg/m³

Quantum ESPRESSO input file:
```
&SYSTEM
  ibrav = 0, nat = 9, ntyp = 2
/
ATOMIC_SPECIES
Dy 162.50 Dy.upf
Pd 106.42 Pd.upf
CELL_PARAMETERS angstrom
7.4577 0.0000 0.0000
-3.7288 6.4585 0.0000
0.0000 0.0000 4.6539
ATOMIC_POSITIONS angstrom
Dy 1.9560 0.0000 0.0000
Dy 2.7508 4.7646 0.0000
Dy -0.9780 1.6940 0.0000
Dy 1.5196 2.6321 2.3269
Dy 4.4183 0.0000 2.3269
Dy -2.2092 3.8264 2.3269
Pd 0.0000 0.0000 2.3269
Pd 3.7288 2.1528 0.0000
Pd 0.0000 4.3057 0.0000
```


Entry 7:
# Ho3Sb3Mo2N12

An optimized crystal structure of Ho3Sb3Mo2N12 (PBE, the Open Quantum Materials Database). Values from VASP.

Calculated values
VASP energy = -7.6336 eV/atom
space-group type = Ia-3d
calculated volume = 1050.9 Å³ per cell
mass density = 7.711 Mg/m³

Quantum ESPRESSO input file:
```
&SYSTEM
  ibrav = 0, nat = 80, ntyp = 4
/
ATOMIC_SPECIES
N 14.01 N.upf
Sb 121.76 Sb.upf
Ho 164.93 Ho.upf
Mo 95.94 Mo.upf
CELL_PARAMETERS angstrom
8.5743 -7.0263 0.4168
-0.6339 5.6303 9.5373
-9.3848 -5.7066 -1.5560
ATOMIC_POSITIONS angstrom
N 2.0886 -7.6162 3.1208
N 0.9972 -2.8273 3.3875
N -0.9298 -1.8094 0.0294
N -0.5512 1.1508 8.3845
N 0.8578 -1.1618 8.3680
N -8.5198 -3.5934 1.7128
N 2.8699 -5.1865 4.7667
N -1.3524 -1.6273 3.9983
N -1.3030 -3.6989 2.2548
N 6.4935 -4.3677 4.1837
N 2.2582 -9.1000 0.5848
N -4.7902 -7.4606 -0.3730
N -3.4726 -6.1218 2.8847
N -4.1567 -3.4141 1.1029
N -2.8250 -6.1508 7.2460
N -2.4416 -4.2753 5.0105
N 4.7468 -8.1162 0.1695
N 4.5693 -6.6168 2.6957
N 2.7123 -3.6885 7.2952
N -0.8933 -8.2535 0.0135
N -0.1415 -3.4038 6.1433
N -1.2003 -7.9895 2.9846
N -7.9380 -2.7349 4.2144
N -3.5331 0.5136 5.2772
N -0.9593 0.2607 1.7751
N -1.9581 -1.2837 7.2371
N -3.7026 1.9974 7.8132
N 3.0095 -4.3148 1.5737
N -5.6679 -4.6043 4.3341
N -6.1912 1.0136 8.2286
N -0.2442 0.8869 5.4134
N -4.4539 -2.7878 6.8244
N -0.5147 -5.2933 8.3687
N 1.3806 -0.9518 1.1521
N 0.5137 -5.8189 1.1610
N -6.0138 -0.4858 5.7023
N -2.3022 -5.9409 0.0300
N 3.3457 0.3580 8.7710
N 4.7934 -1.6541 6.5731
N 4.2235 -2.4984 4.0639
N 7.0754 -3.5093 6.6852
N 1.9345 2.6689 8.8073
N 2.0281 -0.9808 5.5133
N -3.3789 -9.7716 -0.4092
N -0.0921 -5.4753 4.3998
N -6.2378 -5.4486 1.8249
N -4.3143 -1.9162 3.6313
N -0.4851 -7.3634 6.6230
Sb 1.3642 -2.3087 6.8299
Sb -7.6154 -1.6489 5.8435
Sb -4.2195 -3.3959 4.9501
Sb 6.1709 -5.4538 2.5545
Sb 0.3275 -6.7250 2.9166
Sb -2.8086 -4.7939 1.5681
Sb 0.3847 -9.7242 0.3898
Sb -6.1474 -6.0461 -0.0652
Sb -1.7719 -0.3776 5.4815
Sb 2.7750 -3.7067 3.4480
Sb -1.8291 2.6215 8.0082
Sb 4.7029 -1.0566 8.4632
Ho 2.8322 -6.7059 0.9212
Ho 4.7601 -4.0558 5.9365
Ho 1.1615 -5.4920 6.5451
Ho -2.2344 -3.7449 7.4386
Ho -4.2766 -0.3967 7.4768
Ho -3.0113 -7.9772 1.2833
Ho -6.2046 -3.0469 2.4616
Ho -2.6060 -1.6107 1.8529
Ho -2.1772 -6.7441 4.9119
Ho 0.7899 -3.3577 0.9594
Ho 1.5668 0.8745 7.1147
Ho 0.7327 -0.3586 3.4862
Mo -5.0094 -0.0382 3.9906
Mo -0.3170 2.8151 4.7686
Mo -0.7222 -3.5513 4.1990
Mo 0.0000 0.0000 0.0000
Mo -0.4053 -6.3665 -0.5696
Mo -4.6924 -2.8533 -0.7780
Mo 3.9702 -0.6980 4.9770
Mo 4.2871 -3.5131 0.2084
```


Entry 8:
# NaUTe

An optimized crystal structure of NaUTe (PBE, the Open Quantum Materials Database). Values from VASP.

Calculated values
VASP energy = -4.9959 eV/atom
space-group type = F-43m
calculated volume = 93.2 Å³ per cell
mass density = 6.926 Mg/m³

Quantum ESPRESSO input file:
```
&SYSTEM
  ibrav = 0, nat = 3, ntyp = 3
/
ATOMIC_SPECIES
Te 127.60 Te.upf
Na 22.99 Na.upf
U 238.03 U.upf
CELL_PARAMETERS angstrom
0.0000 3.5982 3.5982
3.5982 0.0000 3.5982
3.5982 3.5982 0.0000
ATOMIC_POSITIONS angstrom
Te 0.0000 0.0000 0.0000
Na 1.7991 1.7991 1.7991
U 5.3973 5.3973 5.3973
```


Entry 9:
# ScAgGe

An optimized crystal structure of ScAgGe (PBE, the Open Quantum Materials Database). Values from VASP.

Calculated values
VASP energy = -4.9312 eV/atom
space-group type = P-62m
calculated volume = 177.3 Å³ per cell
mass density = 6.333 Mg/m³

Quantum ESPRESSO input file:
```
&SYSTEM
  ibrav = 0, nat = 9, ntyp = 3
/
ATOMIC_SPECIES
Ag 107.87 Ag.upf
Ge 72.64 Ge.upf
Sc 44.96 Sc.upf
CELL_PARAMETERS angstrom
7.4134 0.0000 0.0000
-3.7067 6.4202 0.0000
0.0000 0.0000 3.7261
ATOMIC_POSITIONS angstrom
Ag -2.2746 3.9398 0.0000
Ag 4.5493 0.0000 0.0000
Ag 1.4320 2.4804 0.0000
Ge 0.0000 0.0000 0.0000
Ge 0.0000 4.2801 1.8631
Ge 3.7067 2.1401 1.8631
Sc -1.0104 1.7500 1.8631
Sc 2.6963 4.6701 1.8631
Sc 2.0208 0.0000 1.8631
```


Entry 10:
# NdNbSbI2

An optimized crystal structure of NdNbSbI2 (PBE, the Open Quantum Materials Database). Values from VASP.

Calculated values
VASP energy = -5.0513 eV/atom
space-group type = P3m1
calculated volume = 173.7 Å³ per cell
mass density = 5.858 Mg/m³

Quantum ESPRESSO input file:
```
&SYSTEM
  ibrav = 0, nat = 5, ntyp = 4
/
ATOMIC_SPECIES
I 126.90 I.upf
Nb 92.91 Nb.upf
Nd 144.24 Nd.upf
Sb 121.76 Sb.upf
CELL_PARAMETERS angstrom
4.3708 0.0000 0.0000
-2.1854 3.7853 0.0000
0.0000 0.0000 10.4983
ATOMIC_POSITIONS angstrom
I 0.0000 2.5235 3.5366
I 2.1854 1.2618 7.2649
Nb 0.0000 2.5235 8.9889
Nd 2.1854 1.2618 1.4986
Sb 0.0000 0.0000 10.2059
```


Entry 11:
# CsDyHgO3

An optimized crystal structure of CsDyHgO3 (PBE, the Open Quantum Materials Database). Values from VASP.

Calculated values
VASP energy = -5.3142 eV/atom
space-group type = Cmcm
calculated volume = 247.6 Å³ per cell
mass density = 7.297 Mg/m³

Quantum ESPRESSO input file:
```
&SYSTEM
  ibrav = 0, nat = 12, ntyp = 4
/
ATOMIC_SPECIES
O 16.00 O.upf
Cs 132.91 Cs.upf
Hg 200.59 Hg.upf
Dy 162.50 Dy.upf
CELL_PARAMETERS angstrom
-2.0498 -0.1583 3.0331
-3.0039 -7.0685 -0.1856
7.1123 -3.1445 4.6425
ATOMIC_POSITIONS angstrom
O -0.3729 -1.3018 4.1067
O -3.4737 -5.8515 1.7737
O 5.5323 -4.5197 5.7163
O 2.4315 -9.0694 3.3833
O 2.3105 -3.0953 3.6133
O -0.2520 -7.2760 3.8767
Cs 0.0133 -3.4784 2.0408
Cs 2.0453 -6.8929 5.4492
Hg -1.8590 -6.5501 2.8285
Hg 3.9175 -3.8212 4.6614
Dy 0.0000 0.0000 0.0000
Dy 3.5562 -1.5722 2.3213
```


Entry 12:
# Li3Ga4Pd2

An optimized crystal structure of Li3Ga4Pd2 (PBE, the Open Quantum Materials Database). Values from VASP.

Calculated values
VASP energy = -3.6456 eV/atom
space-group type = C2/m
calculated volume = 140.2 Å³ per cell
mass density = 6.073 Mg/m³

Quantum ESPRESSO input file:
```
&SYSTEM
  ibrav = 0, nat = 9, ntyp = 3
/
ATOMIC_SPECIES
Pd 106.42 Pd.upf
Ga 69.72 Ga.upf
Li 6.94 Li.upf
CELL_PARAMETERS angstrom
4.8608 -2.1668 0.0000
4.8608 2.1668 0.0000
-4.5825 0.0000 6.6535
ATOMIC_POSITIONS angstrom
Pd 0.4231 0.0000 4.7454
Pd 4.7160 0.0000 1.9081
Ga 6.3122 0.0000 4.0040
Ga -1.1731 0.0000 2.6495
Ga -1.4390 0.0000 6.4695
Ga 6.5781 0.0000 0.1839
Li 0.0000 0.0000 0.0000
Li 1.7552 0.0000 2.1948
Li 3.3839 0.0000 4.4587
```


> Which formula does entry 12 have?

Li3Ga4Pd2


What did the tenth record say?
# NdNbSbI2

An optimized crystal structure of NdNbSbI2 (PBE, the Open Quantum Materials Database). Values from VASP.

Calculated values
VASP energy = -5.0513 eV/atom
space-group type = P3m1
calculated volume = 173.7 Å³ per cell
mass density = 5.858 Mg/m³

Quantum ESPRESSO input file:
```
&SYSTEM
  ibrav = 0, nat = 5, ntyp = 4
/
ATOMIC_SPECIES
I 126.90 I.upf
Nb 92.91 Nb.upf
Nd 144.24 Nd.upf
Sb 121.76 Sb.upf
CELL_PARAMETERS angstrom
4.3708 0.0000 0.0000
-2.1854 3.7853 0.0000
0.0000 0.0000 10.4983
ATOMIC_POSITIONS angstrom
I 0.0000 2.5235 3.5366
I 2.1854 1.2618 7.2649
Nb 0.0000 2.5235 8.9889
Nd 2.1854 1.2618 1.4986
Sb 0.0000 0.0000 10.2059
```


> Look up the calculated volume of the fifth one.

184.8 Å³ per cell